## Tl3V2BiO8 (PBE+U)

Data for crystalline Tl3V2BiO8 at its relaxed geometry.

Cell and atoms, written as extended XYZ:
```
14
Lattice="-5.9370 1.5096 0.2486 2.4859 -3.4061 4.4506 1.8260 6.5269 3.9752" Properties=species:S:1:pos:R:3 pbc="T T T"
V 0.1217 -0.1827 4.0152
O -0.3943 4.4068 3.5929
O 0.4049 1.1224 2.8543
O -2.0300 3.5079 5.8200
Tl 0.0000 0.0000 0.0000
O 1.5831 -0.4919 4.9637
O -3.2082 5.1223 3.7107
Tl 0.9710 2.8533 5.8642
V -1.7468 4.8130 4.6592
O -1.3534 6.2191 5.5155
O -0.2717 -1.5887 3.1588
Tl -2.5961 1.7771 2.8101
O -1.2308 0.2236 5.0815
Bi 0.9130 3.2634 1.9876
```

Computed properties:
total magnetization = 0.0 μB per cell
symmetry = P-3m1
N(E_F) = 0.0 states/eV/cell
E_tot = -6.15 eV/atom

## TlBiWO6 (PBE+U)

Data for crystalline TlBiWO6 at its relaxed geometry.

Cell and atoms, written as extended XYZ:
```
18
Lattice="-4.0601 0.2615 -3.8408 2.9917 -4.6906 0.5933 -6.4301 -3.2695 6.5745" Properties=species:S:1:pos:R:3 pbc="T T T"
W -3.3170 -2.2066 -0.7192
O -2.8786 -2.6676 1.1395
O -3.7507 -1.7678 -2.5843
O -1.7105 -3.1815 -1.2921
O -4.3704 -3.8539 -0.9094
Bi -3.2151 -1.6348 3.2872
Tl -6.5320 -3.8413 2.5681
Bi 0.0000 0.0000 0.0000
O -5.7879 -4.5171 4.6190
O -3.7478 -5.9309 5.9113
Tl -0.9664 -3.8573 0.7589
O -2.5875 -6.4772 3.4559
O -4.6198 -5.0310 2.1874
W -4.1815 -5.4921 4.0461
O -4.9109 -1.2214 -0.1290
O -5.2177 -7.1514 3.8667
O -3.1280 -3.8448 4.2364
O -2.2808 -0.5472 -0.5397
```

Computed properties:
total magnetization = 0.0 μB per cell
symmetry = P-31c
E_tot = -6.17 eV/atom

## TlBiW2O8 (PBE+U)

Data for crystalline TlBiW2O8 at its relaxed geometry.

Cell and atoms, written as extended XYZ:
```
24
Lattice="-0.6349 -7.8022 0.5985 7.6944 -0.8248 -1.3238 4.1178 -3.4531 5.3083" Properties=species:S:1:pos:R:3 pbc="T T T"
O 4.2189 -2.0272 1.5215
O 6.5263 -8.2856 4.9913
W 5.0575 -5.1318 3.5614
O 7.6255 -7.4637 2.3675
O 4.6244 -6.5264 -0.0693
Bi 6.9091 -3.2082 0.4221
O 9.7148 -9.1376 2.8824
Tl 8.9712 -4.9321 3.0755
Bi 4.2681 -8.8719 4.1610
O 3.5518 -4.6164 2.2156
O 5.1110 -3.3374 3.9879
O 6.5528 -5.5537 4.6523
O 6.2526 -5.0635 1.9251
O 1.4625 -2.9425 1.7006
O 7.3719 -6.2552 -0.1632
O 6.9583 -10.0529 3.0615
O 3.8054 -5.8249 4.7463
Tl 2.2061 -7.1480 1.5075
O 6.0662 -8.7427 0.5952
O 4.6510 -3.7945 -0.4083
W 3.0709 -3.3447 0.8906
O 4.9247 -7.0165 2.6579
W 6.1198 -6.9482 1.0216
W 8.1064 -8.7353 3.6925
```

Computed properties:
total magnetization = 0.0 μB per cell
symmetry = C2/c
N(E_F) = 0.0 states/eV/cell
E_tot = -6.76 eV/atom
ΔE to the lowest computed polymorph = 0.000 eV/atom

## Tl2BiWO6 (PBE+U)

Data for crystalline Tl2BiWO6 at its relaxed geometry.

Cell and atoms, written as extended XYZ:
```
20
Lattice="6.3215 0.0000 0.0000 3.1608 5.4746 0.0000 3.1608 1.8249 9.9464" Properties=species:S:1:pos:R:3 pbc="T T T"
Tl 9.4823 5.4746 3.8386
Bi 6.3215 3.6497 8.0044
O 6.3215 5.7346 8.7846
O 6.3215 2.1083 6.1919
W 0.0000 0.0000 0.0000
O 8.1271 2.6073 8.7846
O 7.6565 2.8790 3.7545
O 6.3215 5.1912 3.7545
O 7.6565 4.4205 6.1919
Tl 3.1608 1.8249 2.1271
O 4.9866 2.8790 3.7545
O 4.9866 4.4205 6.1919
O 8.1271 4.6922 1.1619
O 4.5160 2.6073 8.7846
Bi 6.3215 3.6497 1.9420
Tl 3.1608 1.8249 6.1078
Tl 9.4823 5.4746 7.8193
O 4.5160 4.6922 1.1619
O 6.3215 1.5649 1.1619
W 6.3215 3.6497 4.9732
```

Computed properties:
total magnetization = 0.0 μB per cell
symmetry = R-3m
N(E_F) = 5.1 states/eV/cell
E_tot = -5.80 eV/atom

## Tl2BiW3O12 (PBE+U)

Data for crystalline Tl2BiW3O12 at its relaxed geometry.

Cell and atoms, written as extended XYZ:
```
18
Lattice="7.6359 0.1095 0.0776 3.8662 6.5857 0.0776 3.8662 2.2504 6.1898" Properties=species:S:1:pos:R:3 pbc="T T T"
O 8.3204 2.0768 4.4042
O 9.8441 8.1548 5.7841
Tl 5.2968 3.0832 2.1869
Tl 10.0715 5.8625 4.1582
O 11.9525 6.9573 2.3656
O 7.0479 4.1025 5.8410
O 8.3204 4.8432 0.5040
O 7.0479 6.8688 1.9408
W 3.8180 0.0547 0.0388
O 5.9149 6.2093 4.4042
O 5.5243 0.7908 0.5609
O 11.9525 4.5326 5.7841
Bi 0.0000 0.0000 0.0000
O 9.4534 2.7363 1.9408
W 1.9331 1.1252 3.0949
O 3.4158 4.4130 0.5609
W 1.9331 3.2929 0.0388
O 3.4158 1.9883 3.9795
```

Computed properties:
total magnetization = 0.0 μB per cell
symmetry = R-3m
N(E_F) = 5.5 states/eV/cell
E_tot = -6.64 eV/atom

## TlBi2WO6 (PBE+U)

Data for crystalline TlBi2WO6 at its relaxed geometry.

Cell and atoms, written as extended XYZ:
```
10
Lattice="6.3605 0.0005 0.0253 -3.1808 5.4223 -0.0109 -3.1611 -1.8049 5.0420" Properties=species:S:1:pos:R:3 pbc="T T T"
Tl -3.1226 1.8477 2.5516
O 2.2730 4.0853 0.8575
W 0.0492 0.0267 0.0093
O -2.1718 -0.5870 3.5928
O 1.6962 -0.1296 0.8594
Bi 0.0590 3.6434 1.8610
O 0.6309 2.2274 3.5886
O -1.4395 3.8678 3.5967
O -0.6514 1.5173 0.8767
Bi 0.0567 0.0167 3.9510
```

Computed properties:
total magnetization = 1.0 μB per cell
symmetry = P1
E_tot = -6.02 eV/atom

## TlBiW2O8 (PBE+U)

Data for crystalline TlBiW2O8 at its relaxed geometry.

Cell and atoms, written as extended XYZ:
```
12
Lattice="5.6043 0.0000 0.0000 2.8022 4.8535 0.0000 2.8022 1.6178 8.8165" Properties=species:S:1:pos:R:3 pbc="T T T"
O 4.8714 1.5653 5.8997
O 8.4065 4.8535 8.2845
O 4.5242 4.7056 5.8997
W 8.4065 4.8535 6.5000
O 7.4173 3.0352 2.9168
Bi 5.6043 3.2357 4.4082
O 2.8022 1.6178 0.5319
O 4.8714 4.9060 2.9168
O 7.4173 3.4361 5.8997
O 4.5242 1.7658 2.9168
W 2.8022 1.6178 2.3164
Tl 0.0000 0.0000 0.0000
```

Computed properties:
total magnetization = 0.0 μB per cell
symmetry = R32
N(E_F) = 0.0 states/eV/cell
E_tot = -6.65 eV/atom
ΔE to the lowest computed polymorph = 0.115 eV/atom

## Tl2BiWO8 (PBE+U)

Data for crystalline Tl2BiWO8 at its relaxed geometry.

Cell and atoms, written as extended XYZ:
```
12
Lattice="5.0967 -0.1184 -0.0029 -0.1008 5.0919 -0.0056 0.0039 0.0076 6.7609" Properties=species:S:1:pos:R:3 pbc="T T T"
O 4.1796 0.8159 5.2994
O 4.1774 0.8116 1.4546
O 3.5910 3.5846 6.7548
Bi 0.0019 0.0038 3.3805
O 0.8202 4.1651 1.4530
Tl 2.4989 2.4886 1.6332
Tl 2.5009 2.4924 5.1192
O 1.5362 1.5241 3.3779
O 1.4088 1.3964 -0.0024
O 3.4636 3.4568 3.3746
W 0.0000 0.0000 0.0000
O 0.8224 4.1694 5.2978
```

Computed properties:
total magnetization = 0.0 μB per cell
symmetry = Cmmm
N(E_F) = 1.1 states/eV/cell
E_tot = -5.77 eV/atom

## TlBi2WO8 (PBE+U)

Data for crystalline TlBi2WO8 at its relaxed geometry.

Cell and atoms, written as extended XYZ:
```
12
Lattice="5.0133 -0.0972 -0.0029 -0.0768 5.0131 -0.0052 0.0041 0.0077 7.1826" Properties=species:S:1:pos:R:3 pbc="T T T"
O 0.8513 4.0903 5.7340
O 4.0917 0.8379 5.7354
O 3.5314 3.5170 -0.0057
O 3.4549 3.4448 3.5857
Tl 0.0021 0.0039 3.5913
O 1.4858 1.4788 3.5888
W 0.0000 0.0000 0.0000
O 0.8489 4.0857 1.4391
O 4.0893 0.8333 1.4405
Bi 2.4714 2.4638 5.4451
O 1.4092 1.4066 7.1803
Bi 2.4692 2.4598 1.7294
```

Computed properties:
total magnetization = 0.0 μB per cell
symmetry = Cmmm
N(E_F) = 3.4 states/eV/cell
E_tot = -6.04 eV/atom